Entry one
! Rh2WCl (PBE, optimized geometry); values from VASP
! Spin magnetization in μB per formula unit: 0.00
&SYSTEM
  ibrav = 0, nat = 4, ntyp = 3
/
ATOMIC_SPECIES
Cl 35.45 Cl.upf
Rh 102.91 Rh.upf
W 183.84 W.upf
ATOMIC_POSITIONS angstrom
Cl 1.420 3.197 4.994
Rh 0.000 2.999 0.447
Rh 1.420 1.187 1.941
W 0.000 3.110 3.007
CELL_PARAMETERS angstrom
2.840 0.000 0.000
0.000 3.739 -0.174
0.000 0.763 7.216



Entry two
! Rh2WCl (PBE, optimized geometry); values from VASP
! Spin magnetization in μB per formula unit: 0.00
&SYSTEM
  ibrav = 0, nat = 4, ntyp = 3
/
ATOMIC_SPECIES
Cl 35.45 Cl.upf
Rh 102.91 Rh.upf
W 183.84 W.upf
ATOMIC_POSITIONS angstrom
Cl 1.438 1.429 5.701
Rh 0.000 0.000 0.110
Rh 0.000 0.000 3.691
W 1.438 1.429 1.900
CELL_PARAMETERS angstrom
2.866 -0.009 0.000
0.009 2.866 0.000
0.000 0.000 7.602



Relative to the most stable structure, the computed energies are entry one 0.135; entry two 0.000, all in eV/atom.



Entry one
! Rh2WCl (PBE, optimized geometry); values from VASP
! Spin magnetization in μB per formula unit: 0.00
&SYSTEM
  ibrav = 0, nat = 4, ntyp = 3
/
ATOMIC_SPECIES
Rh 102.91 Rh.upf
W 183.84 W.upf
Cl 35.45 Cl.upf
ATOMIC_POSITIONS angstrom
Rh -2.644 0.616 -0.270
Rh -7.933 1.848 -0.811
W -5.289 1.232 -0.540
Cl 0.000 0.000 0.000
CELL_PARAMETERS angstrom
-3.738 1.031 2.195
-2.902 2.879 -1.772
-3.937 -1.446 -1.504



Entry two
! Rh2WCl (PBE, optimized geometry); values from VASP
! Spin magnetization in μB per formula unit: 0.00
&SYSTEM
  ibrav = 0, nat = 4, ntyp = 3
/
ATOMIC_SPECIES
Cl 35.45 Cl.upf
Rh 102.91 Rh.upf
W 183.84 W.upf
ATOMIC_POSITIONS angstrom
Cl 1.420 2.345 5.844
Rh 0.000 2.179 0.116
Rh 0.000 2.277 3.701
W 1.420 0.782 1.948
CELL_PARAMETERS angstrom
2.839 0.000 0.000
0.000 2.892 -0.079
0.000 0.235 7.870



Relative to the most stable structure, the computed energies are entry one 0.741; entry two 0.000, all in eV/atom.